Record 1
Entry from the Alexandria database: Pm2Dy8Tm3 after structural relaxation (GGA-PBE).

a b c (Å): 12.177 19.370 3.545
angles (deg): 90.00 90.00 90.00
Element x y z (fractional)
Pm  0.168  0.129  0.000
Pm  0.332  0.629  0.000
Pm  0.668  0.371  0.000
Pm  0.832  0.871  0.000
Dy  0.017  0.583  0.000
Dy  0.121  0.863  0.000
Dy  0.150  0.298  0.500
Dy  0.211  0.481  0.500
Dy  0.289  0.981  0.500
Dy  0.350  0.798  0.500
Dy  0.379  0.363  0.000
Dy  0.483  0.083  0.000
Dy  0.517  0.917  0.000
Dy  0.621  0.637  0.000
Dy  0.650  0.202  0.500
Dy  0.711  0.019  0.500
Dy  0.789  0.519  0.500
Dy  0.850  0.702  0.500
Dy  0.879  0.137  0.000
Dy  0.983  0.417  0.000
Tm  0.000  0.000  0.500
Tm  0.123  0.712  0.500
Tm  0.377  0.212  0.500
Tm  0.500  0.500  0.500
Tm  0.623  0.788  0.500
Tm  0.877  0.288  0.500

Computed properties:
Total magnetization, μB/f.u.: 0.00
Raw total energy, eV for the cell shown: -117.582
Formation energy, eV/atom: 0.072
N(E_F), states/eV per cell: 34.49


Record 2
Entry from the Alexandria database: Sc2SiRh after structural relaxation (GGA-PBE).

a b c (Å): 4.392 4.392 3.572
angles (deg): 90.00 90.00 90.00
Element x y z (fractional)
Sc  0.000  0.500  0.000
Sc  0.500  0.000  0.000
Si  0.000  0.000  0.500
Rh  0.500  0.500  0.500

Computed properties:
ΔE_f (raw), eV per atom: -0.805
Total magnetization, μB/f.u.: 0.00
Raw total energy, eV for the cell shown: -28.659
N(E_F), states/eV per cell: 1.37


Record 3
Entry from the Alexandria database: MgBr after structural relaxation (GGA-PBE).

a b c (Å): 3.706 3.706 10.052
angles (deg): 90.00 90.00 116.88
Element x y z (fractional)
Mg  0.250  0.750  0.872
Mg  0.750  0.250  0.128
Br  0.250  0.750  0.295
Br  0.750  0.250  0.705

Computed properties:
ΔE_f (raw), eV per atom: -0.808
Total magnetization, μB/f.u.: 0.00
Raw total energy, eV for the cell shown: -9.768
N(E_F), states/eV per cell: 1.00


Record 4
Entry from the Alexandria database: Rb2AgPd after structural relaxation (GGA-PBE).

a b c (Å): 4.748 4.748 9.512
angles (deg): 104.21 104.21 59.99
Element x y z (fractional)
Rb  0.000  0.000  0.000
Rb  0.161  0.161  0.491
Ag  0.414  0.414  0.245
Pd  0.747  0.747  0.246

Computed properties:
Total magnetization, μB/f.u.: 0.00
Energy relative to the lowest polymorph listed for this composition, meV per atom: 0.0
Raw total energy, eV for the cell shown: -9.769
Formation energy, eV/atom: 0.053
N(E_F), states/eV per cell: 2.15


Record 5
Entry from the Alexandria database: GeB2S after structural relaxation (GGA-PBE).

a b c (Å): 5.677 5.677 5.677
angles (deg): 131.30 131.30 71.34
Element x y z (fractional)
Ge  0.000  0.000  0.000
Ge  0.750  0.250  0.500
B  0.148  0.625  0.023
B  0.375  0.398  0.523
B  0.602  0.125  0.977
B  0.875  0.852  0.477
S  0.250  0.750  0.500
S  0.500  0.500  0.000

Computed properties:
ΔE_f (raw), eV per atom: 0.138
Total magnetization, μB/f.u.: 0.00
Energy relative to the lowest polymorph listed for this composition, meV per atom: 0.0
Raw total energy, eV for the cell shown: -43.097
N(E_F), states/eV per cell: 0.00


Record 6
Entry from the Alexandria database: PrMgPtAu after structural relaxation (GGA-PBE).

a b c (Å): 4.974 4.974 4.974
angles (deg): 60.00 60.00 60.00
Element x y z (fractional)
Pr  0.000  0.000  0.000
Mg  0.500  0.500  0.500
Pt  0.250  0.250  0.250
Au  0.750  0.750  0.750

Computed properties:
Total magnetization, μB/f.u.: 0.00
Raw total energy, eV for the cell shown: -18.812
Formation energy, eV/atom: -0.780
N(E_F), states/eV per cell: 2.99


Record 7
Entry from the Alexandria database: V14ReTc after structural relaxation (GGA-PBE).

a b c (Å): 5.208 5.208 8.493
angles (deg): 90.00 90.00 109.21
Element x y z (fractional)
V  0.000  0.000  0.000
V  0.000  0.500  0.000
V  0.000  0.500  0.500
V  0.249  0.751  0.243
V  0.249  0.751  0.757
V  0.251  0.251  0.250
V  0.251  0.251  0.750
V  0.500  0.000  0.000
V  0.500  0.000  0.500
V  0.500  0.500  0.000
V  0.749  0.749  0.250
V  0.749  0.749  0.750
V  0.751  0.249  0.243
V  0.751  0.249  0.757
Re  0.000  0.000  0.500
Tc  0.500  0.500  0.500

Computed properties:
Total magnetization, μB/f.u.: 0.00
Raw total energy, eV for the cell shown: -152.581
Formation energy, eV/atom: -0.132
N(E_F), states/eV per cell: 22.65


Record 8
Entry from the Alexandria database: BaScHgRu2 after structural relaxation (GGA-PBE).

a b c (Å): 5.142 5.142 5.645
angles (deg): 90.00 90.00 90.00
Element x y z (fractional)
Ba  0.000  0.000  0.000
Sc  0.500  0.500  0.000
Hg  0.000  0.000  0.500
Ru  0.000  0.500  0.500
Ru  0.500  0.000  0.500

Computed properties:
Total magnetization, μB/f.u.: 1.26
Raw total energy, eV for the cell shown: -19.661
Formation energy, eV/atom: 1.489
N(E_F), states/eV per cell: 9.97


Record 9
Entry from the Alexandria database: Rb3HgO3 after structural relaxation (GGA-PBE).

a b c (Å): 7.668 7.668 5.976
angles (deg): 90.00 90.00 97.20
Element x y z (fractional)
Rb  0.108  0.892  0.750
Rb  0.152  0.396  0.750
Rb  0.396  0.152  0.250
Rb  0.604  0.848  0.750
Rb  0.848  0.604  0.250
Rb  0.892  0.108  0.250
Hg  0.339  0.661  0.250
Hg  0.661  0.339  0.750
O  0.131  0.869  0.250
O  0.165  0.438  0.250
O  0.438  0.165  0.750
O  0.562  0.835  0.250
O  0.835  0.562  0.750
O  0.869  0.131  0.750

Computed properties:
ΔE_f (raw), eV per atom: -0.874
Total magnetization, μB/f.u.: 1.03
Energy relative to the lowest polymorph listed for this composition, meV per atom: 0.0
Raw total energy, eV for the cell shown: -48.397
N(E_F), states/eV per cell: 4.58


Record 10
Entry from the Alexandria database: YW5 after structural relaxation (GGA-PBE).

a b c (Å): 5.502 5.502 4.428
angles (deg): 90.00 90.00 120.00
Element x y z (fractional)
Y  0.000  0.000  0.000
W  0.000  0.500  0.500
W  0.333  0.667  0.000
W  0.500  0.000  0.500
W  0.500  0.500  0.500
W  0.667  0.333  0.000

Computed properties:
Total magnetization, μB/f.u.: 0.00
Energy relative to the lowest polymorph listed for this composition, meV per atom: 0.0
Raw total energy, eV for the cell shown: -69.668
Formation energy, eV/atom: 0.260
N(E_F), states/eV per cell: 4.37


Record 11
Entry from the Alexandria database: CaLa2S2Cl2 after structural relaxation (GGA-PBE).

a b c (Å): 8.001 8.001 8.001
angles (deg): 140.84 140.84 56.59
Element x y z (fractional)
Ca  0.000  0.000  0.000
La  0.399  0.399  0.000
La  0.601  0.601  0.000
S  0.000  0.500  0.500
S  0.500  0.000  0.500
Cl  0.199  0.199  0.000
Cl  0.801  0.801  0.000

Computed properties:
ΔE_f (raw), eV per atom: -1.797
Total magnetization, μB/f.u.: 0.08
Raw total energy, eV for the cell shown: -36.383
N(E_F), states/eV per cell: 5.23


Record 12
Entry from the Alexandria database: Rb2LiSnBr6 after structural relaxation (GGA-PBE).

a b c (Å): 14.312 14.312 14.312
angles (deg): 31.99 31.99 31.99
Element x y z (fractional)
Rb  0.112  0.112  0.112
Rb  0.307  0.307  0.307
Rb  0.693  0.693  0.693
Rb  0.888  0.888  0.888
Li  0.411  0.411  0.411
Li  0.589  0.589  0.589
Sn  0.000  0.000  0.000
Sn  0.500  0.500  0.500
Br  0.148  0.619  0.619
Br  0.215  0.215  0.703
Br  0.215  0.703  0.215
Br  0.297  0.785  0.785
Br  0.381  0.381  0.852
Br  0.381  0.852  0.381
Br  0.619  0.148  0.619
Br  0.619  0.619  0.148
Br  0.703  0.215  0.215
Br  0.785  0.297  0.785
Br  0.785  0.785  0.297
Br  0.852  0.381  0.381

Computed properties:
ΔE_f (raw), eV per atom: -1.283
Total magnetization, μB/f.u.: 0.00
Energy relative to the lowest polymorph listed for this composition, meV per atom: 0.0
Raw total energy, eV for the cell shown: -61.433
N(E_F), states/eV per cell: 0.22


Record 13
Entry from the Alexandria database: TiIn after structural relaxation (GGA-PBE).

a b c (Å): 3.022 3.022 4.895
angles (deg): 100.42 100.42 65.94
Element x y z (fractional)
Ti  0.000  0.000  0.000
In  0.500  0.500  0.500

Computed properties:
Total magnetization, μB/f.u.: 0.00
Raw total energy, eV for the cell shown: -10.641
Formation energy, eV/atom: -0.004
N(E_F), states/eV per cell: 1.93


Record 14
Entry from the Alexandria database: LaSb2Au after structural relaxation (GGA-PBE).

a b c (Å): 6.001 6.001 6.001
angles (deg): 135.57 135.57 64.64
Element x y z (fractional)
La  0.000  0.000  0.000
Sb  0.250  0.750  0.500
Sb  0.500  0.500  0.000
Au  0.750  0.250  0.500

Computed properties:
ΔE_f (raw), eV per atom: -0.587
Total magnetization, μB/f.u.: 0.00
Raw total energy, eV for the cell shown: -18.796
N(E_F), states/eV per cell: 1.52


Record 15
Entry from the Alexandria database: IrW after structural relaxation (GGA-PBE).

a b c (Å): 5.287 5.287 4.885
angles (deg): 117.42 117.42 30.51
Element x y z (fractional)
Ir  0.122  0.122  0.293
Ir  0.878  0.878  0.707
W  0.376  0.376  0.214
W  0.624  0.624  0.786

Computed properties:
Total magnetization, μB/f.u.: 0.00
Energy relative to the lowest polymorph listed for this composition, meV per atom: 107.4
Raw total energy, eV for the cell shown: -44.401
Formation energy, eV/atom: -0.193
N(E_F), states/eV per cell: 3.08


Record 16
Entry from the Alexandria database: CuAsAuSe2 after structural relaxation (GGA-PBE).

a b c (Å): 4.859 4.859 4.591
angles (deg): 90.00 90.00 90.00
Element x y z (fractional)
Cu  0.000  0.000  0.000
As  0.000  0.000  0.500
Au  0.500  0.500  0.500
Se  0.000  0.500  0.000
Se  0.500  0.000  0.000

Computed properties:
ΔE_f (raw), eV per atom: 0.666
Total magnetization, μB/f.u.: 0.00
Energy relative to the lowest polymorph listed for this composition, meV per atom: 0.0
Raw total energy, eV for the cell shown: -15.661
N(E_F), states/eV per cell: 4.50


Record 17
Entry from the Alexandria database: NbCdFeRh after structural relaxation (GGA-PBE).

a b c (Å): 4.433 4.433 4.433
angles (deg): 60.00 60.00 60.00
Element x y z (fractional)
Nb  0.000  0.000  0.000
Cd  0.500  0.500  0.500
Fe  0.250  0.250  0.250
Rh  0.750  0.750  0.750

Computed properties:
Total magnetization, μB/f.u.: 0.01
Raw total energy, eV for the cell shown: -26.867
Formation energy, eV/atom: -0.017
N(E_F), states/eV per cell: 1.00


Record 18
Entry from the Alexandria database: PmMg9Pt2 after structural relaxation (GGA-PBE).

a b c (Å): 9.049 9.049 9.049
angles (deg): 99.92 99.92 130.95
Element x y z (fractional)
Pm  0.375  0.625  0.750
Pm  0.625  0.375  0.250
Mg  0.125  0.875  0.250
Mg  0.136  0.567  0.325
Mg  0.136  0.811  0.569
Mg  0.189  0.258  0.325
Mg  0.189  0.864  0.931
Mg  0.258  0.189  0.825
Mg  0.258  0.433  0.069
Mg  0.433  0.258  0.569
Mg  0.433  0.864  0.175
Mg  0.567  0.136  0.825
Mg  0.567  0.742  0.431
Mg  0.742  0.567  0.931
Mg  0.742  0.811  0.175
Mg  0.811  0.136  0.069
Mg  0.811  0.742  0.675
Mg  0.864  0.189  0.431
Mg  0.864  0.433  0.675
Mg  0.875  0.125  0.750
Pt  0.000  0.000  0.000
Pt  0.000  0.000  0.500
Pt  0.000  0.500  0.000
Pt  0.500  0.000  0.500

Computed properties:
Total magnetization, μB/f.u.: 0.00
Raw total energy, eV for the cell shown: -71.549
Formation energy, eV/atom: -0.383
N(E_F), states/eV per cell: 17.29


Record 19
Entry from the Alexandria database: Tb4SnBi2Te after structural relaxation (GGA-PBE).

a b c (Å): 7.716 7.716 7.716
angles (deg): 131.94 131.94 70.32
Element x y z (fractional)
Tb  0.000  0.500  0.500
Tb  0.245  0.245  0.000
Tb  0.500  0.000  0.500
Tb  0.755  0.755  0.000
Sn  0.000  0.000  0.000
Bi  0.250  0.750  0.500
Bi  0.750  0.250  0.500
Te  0.500  0.500  0.000

Computed properties:
ΔE_f (raw), eV per atom: -0.975
Total magnetization, μB/f.u.: 0.00
Raw total energy, eV for the cell shown: -41.228
N(E_F), states/eV per cell: 1.21


Record 20
Entry from the Alexandria database: BaTa2Ag2O7 after structural relaxation (GGA-PBE).

a b c (Å): 11.184 11.184 11.184
angles (deg): 159.22 159.22 29.55
Element x y z (fractional)
Ba  0.000  0.000  0.000
Ta  0.400  0.400  0.000
Ta  0.600  0.600  0.000
Ag  0.250  0.750  0.500
Ag  0.750  0.250  0.500
O  0.092  0.592  0.500
O  0.312  0.312  0.000
O  0.408  0.908  0.500
O  0.500  0.500  0.000
O  0.592  0.092  0.500
O  0.688  0.688  0.000
O  0.908  0.408  0.500

Computed properties:
ΔE_f (raw), eV per atom: -2.186
Total magnetization, μB/f.u.: 0.00
Raw total energy, eV for the cell shown: -92.269


Record 21
Entry from the Alexandria database: CoNi2HOs after structural relaxation (GGA-PBE).

a b c (Å): 3.628 3.628 3.740
angles (deg): 90.00 90.00 90.00
Element x y z (fractional)
Co  0.000  0.000  0.000
Ni  0.000  0.500  0.500
Ni  0.500  0.000  0.500
H  0.000  0.000  0.500
Os  0.500  0.500  0.000

Computed properties:
Total magnetization, μB/f.u.: 3.26
Raw total energy, eV for the cell shown: -32.154
N(E_F), states/eV per cell: 5.65


Record 22
Entry from the Alexandria database: Ti3As2 after structural relaxation (GGA-PBE).

a b c (Å): 6.702 3.435 7.313
angles (deg): 90.00 101.04 90.00
Element x y z (fractional)
Ti  0.148  0.250  0.091
Ti  0.277  0.250  0.473
Ti  0.343  0.750  0.862
Ti  0.657  0.250  0.138
Ti  0.723  0.750  0.527
Ti  0.852  0.750  0.909
As  0.038  0.250  0.722
As  0.416  0.750  0.246
As  0.584  0.250  0.754
As  0.962  0.750  0.278

Computed properties:
Total magnetization, μB/f.u.: 0.00
Energy relative to the lowest polymorph listed for this composition, meV per atom: 113.4
Raw total energy, eV for the cell shown: -73.937
Formation energy, eV/atom: -0.797
N(E_F), states/eV per cell: 6.13


Record 23
Entry from the Alexandria database: BeNi2Rh after structural relaxation (GGA-PBE).

a b c (Å): 2.689 2.689 6.046
angles (deg): 90.00 90.00 90.00
Element x y z (fractional)
Be  0.000  0.000  0.000
Ni  0.000  0.000  0.472
Ni  0.500  0.500  0.207
Rh  0.500  0.500  0.764

Computed properties:
Total magnetization, μB/f.u.: 1.24
Raw total energy, eV for the cell shown: -23.467
Formation energy, eV/atom: -0.207
N(E_F), states/eV per cell: 5.58